No. 1
CsAl2SbMo (meta-GGA SCAN, PBEsol geometry); DFT total energy = -118.200 eV for the cell shown
1.0
5.3860 0.0000 0.0000
0.0000 5.3860 0.0000
0.0000 0.0000 6.7478
Cs Al Sb Mo
1 2 1 1
direct
0.0000 0.0000 0.0000 Cs
0.0000 0.5000 0.5000 Al
0.5000 0.0000 0.5000 Al
0.0000 0.0000 0.5000 Sb
0.5000 0.5000 0.0000 Mo

No. 2
CsAlN2O (meta-GGA SCAN, PBEsol geometry); DFT total energy = -59.026 eV for the cell shown
1.0
4.3548 0.0000 0.0000
0.0000 4.3548 0.0000
0.0000 0.0000 4.2186
Cs Al N O
1 1 2 1
direct
0.0000 0.0000 0.0000 Cs
0.5000 0.5000 0.5000 Al
0.0000 0.5000 0.0000 N
0.5000 0.0000 0.0000 N
0.0000 0.0000 0.5000 O

No. 3
CsAlS2N (meta-GGA SCAN, PBEsol geometry); DFT total energy = -65.749 eV for the cell shown
1.0
5.5695 0.0000 0.0000
0.0000 5.5695 0.0000
0.0000 0.0000 5.3094
Cs Al S N
1 1 2 1
direct
0.0000 0.0000 0.0000 Cs
0.5000 0.5000 0.5000 Al
0.0000 0.5000 0.0000 S
0.5000 0.0000 0.0000 S
0.0000 0.0000 0.5000 N

No. 4
CsAlSN2 (meta-GGA SCAN, PBEsol geometry); DFT total energy = -71.581 eV for the cell shown
1.0
4.2139 0.0000 0.0000
0.0000 4.2139 0.0000
0.0000 0.0000 4.8238
Cs Al S N
1 1 1 2
direct
0.0000 0.0000 0.0000 Cs
0.5000 0.5000 0.5000 Al
0.5000 0.5000 0.0000 S
0.0000 0.5000 0.5000 N
0.5000 0.0000 0.5000 N

No. 5
CsNa2Al2 (meta-GGA SCAN, PBEsol geometry); formation energy = 0.269 eV per atom
1.0
9.3679 0.0000 0.0000
0.0000 9.3679 0.0000
0.0000 0.0000 3.5004
Cs Na Al
2 4 4
direct
0.0000 0.0000 0.0000 Cs
0.5000 0.5000 0.0000 Cs
0.1836 0.3164 0.5000 Na
0.3164 0.8164 0.5000 Na
0.6836 0.1836 0.5000 Na
0.8164 0.6836 0.5000 Na
0.0998 0.5998 0.0000 Al
0.4002 0.0998 0.0000 Al
0.5998 0.9002 0.0000 Al
0.9002 0.4002 0.0000 Al

No. 6
CsAlNiPb2 (meta-GGA SCAN, PBEsol geometry); formation energy = 0.478 eV per atom
1.0
5.0870 0.0000 0.0000
0.0000 5.0870 0.0000
0.0000 0.0000 5.7756
Cs Al Ni Pb
1 1 1 2
direct
0.0000 0.0000 0.0000 Cs
0.5000 0.5000 0.0000 Al
0.0000 0.0000 0.5000 Ni
0.0000 0.5000 0.5000 Pb
0.5000 0.0000 0.5000 Pb

No. 7
Cs3AlO3 (meta-GGA SCAN, PBEsol geometry); DFT total energy = -618.905 eV for the cell shown
1.0
7.8105 0.0000 0.0000
0.0000 12.7912 0.0000
-2.8987 0.0000 6.4762
Cs Al O
12 4 12
direct
0.0219 0.1537 0.4397 Cs
0.0219 0.3463 0.9397 Cs
0.2274 0.0595 0.0148 Cs
0.2274 0.4405 0.5148 Cs
0.4256 0.6975 0.6314 Cs
0.4256 0.8025 0.1314 Cs
0.5744 0.1975 0.8686 Cs
0.5744 0.3025 0.3686 Cs
0.7726 0.5595 0.4852 Cs
0.7726 0.9405 0.9852 Cs
0.9781 0.6537 0.0603 Cs
0.9781 0.8463 0.5603 Cs
0.3580 0.5465 0.0142 Al
0.3580 0.9535 0.5142 Al
0.6420 0.0465 0.4858 Al
0.6420 0.4535 0.9858 Al
0.1696 0.6007 0.7994 O
0.1696 0.8993 0.2994 O
0.3348 0.5683 0.2474 O
0.3348 0.9317 0.7474 O
0.4115 0.0888 0.4720 O
0.4115 0.4112 0.9720 O
0.5885 0.5888 0.0280 O
0.5885 0.9112 0.5280 O
0.6652 0.0683 0.2526 O
0.6652 0.4317 0.7526 O
0.8304 0.1007 0.7006 O
0.8304 0.3993 0.2006 O

No. 8
CsAlO2 (meta-GGA SCAN, PBEsol geometry); DFT total energy = -138.618 eV for the cell shown
1.0
0.0000 4.0598 4.0598
4.0598 0.0000 4.0598
4.0598 4.0598 0.0000
Cs Al O
2 2 4
direct
0.1250 0.1250 0.1250 Cs
0.8750 0.8750 0.8750 Cs
0.3750 0.3750 0.3750 Al
0.6250 0.6250 0.6250 Al
0.0000 0.5000 0.5000 O
0.5000 0.0000 0.5000 O
0.5000 0.5000 0.0000 O
0.5000 0.5000 0.5000 O

No. 9
CsAl3P6O20 (meta-GGA SCAN, PBEsol geometry); DFT total energy = -661.001 eV for the cell shown
1.0
12.2472 0.0000 0.0000
0.0000 6.6831 5.0377
0.0000 -6.6831 5.0377
Cs Al P O
2 6 12 40
direct
0.0000 0.0000 0.0000 Cs
0.5000 0.5000 0.5000 Cs
0.0000 0.3790 0.3790 Al
0.2208 0.7769 0.3204 Al
0.2792 0.2769 0.8204 Al
0.5000 0.8790 0.8790 Al
0.7208 0.8204 0.2769 Al
0.7792 0.3204 0.7769 Al
0.0425 0.3779 0.7533 P
0.1952 0.6367 0.9033 P
0.2193 0.3790 0.2245 P
0.2807 0.8790 0.7245 P
0.3048 0.1367 0.4033 P
0.4575 0.8779 0.2533 P
0.5425 0.2533 0.8779 P
0.6952 0.4033 0.1367 P
0.7193 0.7245 0.8790 P
0.7807 0.2245 0.3790 P
0.8048 0.9033 0.6367 P
0.9575 0.7533 0.3779 P
0.0516 0.3822 0.5720 O
0.0708 0.8031 0.3460 O
0.0730 0.5671 0.8628 O
0.1051 0.3021 0.2338 O
0.1262 0.2625 0.7942 O
0.1957 0.7820 0.8138 O
0.2013 0.7166 0.0858 O
0.2204 0.5567 0.3309 O
0.2245 0.0053 0.3180 O
0.2403 0.8482 0.5510 O
0.2597 0.3482 0.0510 O
0.2755 0.5053 0.8180 O
0.2796 0.0567 0.8309 O
0.2987 0.2166 0.5858 O
0.3043 0.2820 0.3138 O
0.3738 0.7625 0.2942 O
0.3949 0.8021 0.7338 O
0.4270 0.0671 0.3628 O
0.4292 0.3031 0.8460 O
0.4484 0.8822 0.0720 O
0.5516 0.0720 0.8822 O
0.5708 0.8460 0.3031 O
0.5730 0.3628 0.0671 O
0.6051 0.7338 0.8021 O
0.6262 0.2942 0.7625 O
0.6957 0.3138 0.2820 O
0.7013 0.5858 0.2166 O
0.7204 0.8309 0.0567 O
0.7245 0.8180 0.5053 O
0.7403 0.0510 0.3482 O
0.7597 0.5510 0.8482 O
0.7755 0.3180 0.0053 O
0.7796 0.3309 0.5567 O
0.7987 0.0858 0.7166 O
0.8043 0.8138 0.7820 O
0.8738 0.7942 0.2625 O
0.8949 0.2338 0.3021 O
0.9270 0.8628 0.5671 O
0.9292 0.3460 0.8031 O
0.9484 0.5720 0.3822 O

No. 10
Cs2AlP (meta-GGA SCAN, PBEsol geometry); formation energy = -0.035 eV per atom
1.0
13.4182 0.0000 0.0000
0.0000 13.4182 0.0000
0.0000 0.0000 4.6829
Cs Al P
8 4 4
direct
0.0607 0.2500 0.1250 Cs
0.2500 0.5607 0.3750 Cs
0.2500 0.9393 0.8750 Cs
0.4393 0.2500 0.6250 Cs
0.5607 0.7500 0.6250 Cs
0.7500 0.0607 0.8750 Cs
0.7500 0.4393 0.3750 Cs
0.9393 0.7500 0.1250 Cs
0.0000 0.0000 0.5000 Al
0.0000 0.5000 0.7500 Al
0.5000 0.0000 0.2500 Al
0.5000 0.5000 0.0000 Al
0.0000 0.0000 0.0000 P
0.0000 0.5000 0.2500 P
0.5000 0.0000 0.7500 P
0.5000 0.5000 0.5000 P

No. 11
CsAlPS2 (meta-GGA SCAN, PBEsol geometry); polymorph energy (0 for the lowest one) = 9.05 eV/f.u.
1.0
5.4836 0.0000 0.0000
0.0000 5.4836 0.0000
0.0000 0.0000 5.6117
Cs Al P S
1 1 1 2
direct
0.0000 0.0000 0.0000 Cs
0.5000 0.5000 0.5000 Al
0.0000 0.0000 0.5000 P
0.0000 0.5000 0.0000 S
0.5000 0.0000 0.0000 S

No. 12
CsAlPS2 (meta-GGA SCAN, PBEsol geometry); polymorph energy (0 for the lowest one) = 0.00 eV/f.u.
1.0
4.8549 0.0000 0.0000
0.0000 4.8549 0.0000
0.0000 0.0000 4.7470
Cs Al P S
1 1 1 2
direct
0.0000 0.0000 0.0000 Cs
0.5000 0.5000 0.5000 Al
0.5000 0.5000 0.0000 P
0.0000 0.5000 0.5000 S
0.5000 0.0000 0.5000 S